Entry 1:
## AcSm3Hg6 (PBE)

Data for a relaxed AcSm3Hg6 crystal.

## Properties
* crystal system: monoclinic

Cell: 5.2838 9.5102 11.6531 Å, 107.52 90.00 90.00°
Element x y z (fractional)
Ac 0.7500 0.0710 0.3811
Ac 0.2500 0.9290 0.6189
Hg 0.2500 0.2650 0.5309
Hg 0.2500 0.6399 0.7200
Hg 0.7500 0.9410 0.0869
Hg 0.7500 0.7350 0.4691
Hg 0.7500 0.3601 0.2800
Hg 0.2500 0.4593 0.0958
Hg 0.7500 0.1854 0.6932
Hg 0.7500 0.5407 0.9042
Hg 0.2500 0.8146 0.3068
Hg 0.7500 0.8509 0.7979
Hg 0.2500 0.1491 0.2021
Hg 0.2500 0.0590 0.9131
Sm 0.7500 0.4987 0.6144
Sm 0.2500 0.3531 0.8115
Sm 0.7500 0.2272 0.9990
Sm 0.2500 0.7728 0.0010
Sm 0.2500 0.5013 0.3856
Sm 0.7500 0.6469 0.1885

Entry 2:
## Ac4Sm3Hg (PBE)

Data for a relaxed Ac4Sm3Hg crystal.

## Properties
* crystal system: tetragonal

Cell: 3.9284 3.9284 19.6587 Å, 90.00 90.00 90.00°
Element x y z (fractional)
Sm 0.5000 0.5000 0.7590
Sm 0.5000 0.5000 0.2410
Sm 0.5000 0.5000 0.5000
Hg 0.5000 0.5000 0.0000
Ac 0.0000 0.0000 0.6300
Ac 0.0000 0.0000 0.8938
Ac 0.0000 0.0000 0.1062
Ac 0.0000 0.0000 0.3700

Entry 3:
## Ac2Sm3Hg2 (PBE)

Data for a relaxed Ac2Sm3Hg2 crystal.

## Properties
* energy relative to the lowest polymorph listed for this composition: 6 meV/atom
* crystal system: orthorhombic

Cell: 3.8480 3.7832 16.3940 Å, 90.00 96.74 90.00°
Element x y z (fractional)
Sm 0.0000 0.0000 0.0000
Sm 0.5738 0.5000 0.1475
Sm 0.4262 0.5000 0.8525
Hg 0.1285 0.0000 0.2571
Hg 0.8715 0.0000 0.7429
Ac 0.6966 0.5000 0.3933
Ac 0.3034 0.5000 0.6067

Entry 4:
## AcSm2Hg3 (PBE)

Data for a relaxed AcSm2Hg3 crystal.

## Properties
* energy relative to the lowest polymorph listed for this composition: 0 meV/atom
* crystal system: tetragonal

Cell: 3.8675 3.8675 11.6992 Å, 90.00 90.00 90.00°
Each line ends with the local moment (μB).
Element x y z (fractional)
Hg 0.0000 0.0000 0.6883  0.02
Hg 0.0000 0.0000 0.3117  0.02
Hg 0.0000 0.0000 0.0000  0.01
Sm 0.5000 0.5000 0.1588  0.17
Sm 0.5000 0.5000 0.8412  0.17
Ac 0.5000 0.5000 0.5000  0.13

| no. | E_tot (eV/atom) |
| --- | --- |
| 1 | -2.4449 |
| 2 | -3.9475 |
| 3 | -3.4868 |
| 4 | -2.8712 |